First-principles (PBE-GGA) data for a relaxed structure of CaNd3Ho4, as listed in Alexandria.

Unit cell a=13.5035 b=13.5035 c=3.6170 alpha=90.12 beta=90.12 gamma=24.59
With the nearest neighbours (Å) after each atom.
Atoms (fractional coordinates):
Ca: 0.0000 0.0000 0.0000  4 Ho 3.31, 4 Nd 3.40, 2 Ca 3.62
Nd: 0.3454 0.3454 0.9998  2 Nd 3.62, 10 Ho 3.64-3.86
Nd: 0.5000 0.5000 0.5000  4 Ca 3.40, 2 Nd 3.62
Nd: 0.6546 0.6546 0.0002  2 Nd 3.62, 10 Ho 3.64-3.86
Ho: 0.1050 0.1050 0.5010  1 Ho 3.14, 2 Ca 3.31
Ho: 0.2241 0.2241 0.4989  3 Ho 3.14-3.18
Ho: 0.7759 0.7759 0.5011  3 Ho 3.14-3.18
Ho: 0.8950 0.8950 0.4990  1 Ho 3.14, 2 Ca 3.31

Energy of formation from the pure elements   0.234 eV per atom
Final energy   -32.741 eV per cell
Spin magnetization   0.00 μB per formula unit
Density of states at the Fermi level   1.52 states/eV per atom

***

First-principles (PBE-GGA) data for a relaxed structure of TaRe3, as listed in Alexandria.

Unit cell a=2.7857 b=2.7857 c=8.1921 alpha=90.00 beta=90.00 gamma=90.00
With the nearest neighbours (Å) after each atom.
Atoms (fractional coordinates):
Ta: 0.0000 0.0000 0.0000  4 Ta 2.79, 8 Re 2.96
Re: 0.0000 0.0000 0.5000  12 Re 2.73-2.79
Re: 0.5000 0.5000 0.2700  8 Re 2.73-2.79, 4 Ta 2.96
Re: 0.5000 0.5000 0.7300  8 Re 2.73-2.79, 4 Ta 2.96

Energy of formation from the pure elements   0.036 eV per atom
Final energy   -49.054 eV per cell
Spin magnetization   0.00 μB per formula unit
Density of states at the Fermi level   0.70 states/eV per atom

***

First-principles (PBE-GGA) data for a relaxed structure of BaCd2W, as listed in Alexandria.

Unit cell a=5.2192 b=5.2192 c=6.8496 alpha=96.76 beta=96.76 gamma=34.17
With the nearest neighbours (Å) after each atom.
Atoms (fractional coordinates):
Ba: 0.0000 0.0000 0.0000  2 Ba 3.07, 2 Cd 3.42
Cd: 0.2381 0.2381 0.6820  4 Cd 2.96-3.07, 3 W 2.97-3.03
Cd: 0.7619 0.7619 0.3180  4 Cd 2.96-3.07, 3 W 2.97-3.03
W: 0.5000 0.5000 0.5000  6 Cd 2.97-3.03, 2 W 3.07

Energy relative to the lowest polymorph listed for this composition   144 meV per atom
Energy of formation from the pure elements   0.762 eV per atom
Final energy   -13.657 eV per cell
Spin magnetization   0.81 μB per formula unit
Density of states at the Fermi level   0.99 states/eV per atom

***

First-principles (PBE-GGA) data for a relaxed structure of BaPtPb2, as listed in Alexandria.

Unit cell a=4.6954 b=4.6954 c=5.2819 alpha=90.00 beta=90.00 gamma=90.00
With the nearest neighbours (Å) after each atom.
Atoms (fractional coordinates):
Ba: 0.0000 0.0000 0.0000  4 Pt 3.32, 8 Pb 3.53
Pt: 0.5000 0.5000 0.0000  4 Ba 3.32, 8 Pb 3.53
Pb: 0.0000 0.5000 0.5000  4 Pb 3.32, 4 Ba 3.53, 4 Pt 3.53
Pb: 0.5000 0.0000 0.5000  4 Pb 3.32, 4 Ba 3.53, 4 Pt 3.53

Energy of formation from the pure elements   -0.215 eV per atom
Final energy   -16.240 eV per cell
Spin magnetization   0.00 μB per formula unit
Density of states at the Fermi level   0.55 states/eV per atom

***

| no. | volume (Å³/atom) |
| --- | --- |
| 1 | 34.3 |
| 2 | 15.9 |
| 3 | 26.0 |
| 4 | 29.1 |